No. 1
InGeHAu2 | PBE | optimized geometry

Values from the calculation:
* magnetic moment: 0.00 μB/cell
* theoretical density: 10.450 g cm⁻³
* electronic total energy: -16.78 eV for the cell shown

Unit cell a=5.1437 b=5.1437 c=3.4979 alpha=90.00 beta=90.00 gamma=90.00
With the nearest neighbours (Å) after each atom.
Space group P4/mmm (No. 123)
Asymmetric unit:
In1 0.0000 0.0000 0.0000 x1  8 Au 3.11
Ge1 0.5000 0.5000 0.5000 x1  2 H 1.75
H1 0.5000 0.5000 0.0000 x1  2 Ge 1.75
Au1 0.0000 0.5000 0.5000 x2  2 Ge 2.57

=====

No. 2
KGeHAu2 | PBE | optimized geometry

Values from the calculation:
* magnetic moment: 0.00 μB/cell
* theoretical density: 8.080 g cm⁻³
* electronic total energy: -15.69 eV for the cell shown

Unit cell a=5.2307 b=5.2307 c=3.8059 alpha=90.00 beta=90.00 gamma=90.00
With the nearest neighbours (Å) after each atom.
Space group P4/mmm (No. 123)
Asymmetric unit:
K1 0.0000 0.0000 0.0000 x1  8 Au 3.23
Ge1 0.5000 0.5000 0.5000 x1  2 H 1.90
H1 0.5000 0.5000 0.0000 x1  2 Ge 1.90
Au1 0.0000 0.5000 0.5000 x2  2 Ge 2.62